[1]
Computed, not measured: a relaxed structure of Pu4Pd2Ru at the GGA-PBE level of DFT.

Cell lengths 6.8890, 6.8890, 6.8597 Å; angles 90.00, 90.00, 90.00 degrees
Space group I4/mmm (No. 139)
Symmetry-distinct sites (fractional):
Pu (0.2500, 0.2500, 0.2500) [8 per cell]
Pd (0.0000, 0.5000, 0.0000) [4 per cell]
Ru (0.0000, 0.0000, 0.0000) [2 per cell]

Computed properties:
crystal system	tetragonal


[2]
Computed, not measured: a relaxed structure of Pu6Pd2Ru at the GGA-PBE level of DFT.

Cell lengths 7.8752, 8.3112, 5.3914 Å; angles 90.00, 110.81, 90.00 degrees
Space group C2/m (No. 12)
Symmetry-distinct sites (fractional):
Pu (0.0000, 0.1977, 0.0000) [4 per cell]
Pu (0.1333, 0.3481, 0.4433) [8 per cell]
Pd (0.1959, 0.5000, 0.9867) [4 per cell]
Ru (0.0000, 0.0000, 0.5000) [2 per cell]

Computed properties:
crystal system	monoclinic


[3]
Computed, not measured: a relaxed structure of Pu6PdRu5 at the GGA-PBE level of DFT.

Cell lengths 8.2776, 14.4814, 4.8294 Å; angles 90.00, 125.51, 90.00 degrees
Space group C2/m (No. 12)
Symmetry-distinct sites (fractional):
Pu (0.2452, 0.0000, 0.2455) [4 per cell]
Pu (0.2475, 0.1691, 0.7475) [8 per cell]
Pd (0.0000, 0.5000, 0.0000) [2 per cell]
Ru (0.0000, 0.0000, 0.5000) [2 per cell]
Ru (0.0000, 0.1655, 0.0000) [4 per cell]
Ru (0.0000, 0.3343, 0.5000) [4 per cell]

Computed properties:
energy relative to the lowest polymorph listed for this composition	0.000	eV per atom
crystal system	monoclinic


Number 1: energy of formation -14.87 kJ per mole of atoms. Number 2: energy of formation -8.27 kJ per mole of atoms. Number 3: energy of formation -17.14 kJ per mole of atoms.